An optimized crystal structure of TiNb2N. Source: the Alexandria database, functional PBE-GGA.

Properties
Offset from the most stable computed form, eV per atom: 0.0397
Calculated volume, Å³ per atom: 15.25
Spin magnetization, μB per atom: 0.000

abc: 7.5257 7.5257 5.7410
angles: 49.05 49.05 90.00
Sites, in units of the cell vectors:
Nb1 0.4986 0.1250 0.2500
Nb2 0.8750 0.7486 0.7500
Ti1 0.0000 0.0000 0.0000
N1 0.2500 0.7500 0.5000
Nb3 0.2514 0.6250 0.2500
Nb4 0.3750 0.5014 0.7500
Ti2 0.7500 0.2500 0.5000
N2 0.5000 0.5000 0.0000